[1]
Density functional theory data (PBE) for a relaxed MgCrIn3 crystal.

Cell: 5.194 5.194 5.194 Å, 90.00 90.00 90.00°
Element x y z (fractional)
Mg1 0.000 0.000 0.000
Cr1 0.500 0.500 0.500
In1 0.000 0.500 0.500
In2 0.500 0.000 0.500
In3 0.500 0.500 0.000

Calculated values
**Polymorph energy (0 for the lowest one)**: 0.00 eV per formula unit
**ΔH_f (0 K)**: 0.439 eV per atom



[2]
Density functional theory data (PBE) for a relaxed Hf3Zr3Pt4 crystal.

Cell: 6.638 4.194 7.258 Å, 90.00 91.61 90.00°
Element x y z (fractional)
Hf1 0.000 0.000 0.000
Hf2 0.175 0.500 0.668
Hf3 0.508 0.000 0.499
Zr1 0.330 0.500 0.167
Zr2 0.672 0.500 0.827
Zr3 0.831 0.500 0.326
Pt1 0.137 0.000 0.358
Pt2 0.363 0.000 0.851
Pt3 0.633 0.000 0.139
Pt4 0.882 0.000 0.642

Calculated values
**ΔH_f (0 K)**: -0.835 eV per atom



[3]
Density functional theory data (PBE) for a relaxed YCdSe2 crystal.

Cell: 4.943 4.943 3.657 Å, 90.10 90.10 89.98°
Element x y z (fractional)
Y1 0.000 0.000 0.000
Cd1 0.500 0.500 0.000
Se1 0.000 0.500 0.500
Se2 0.500 0.000 0.500

Calculated values
**Formation energy (no corrections)**: -1.000 eV/atom



[4]
Density functional theory data (PBE) for a relaxed LiCu2H2 crystal.

Cell: 4.785 4.785 4.785 Å, 140.52 140.52 57.07°
Element x y z (fractional)
Li1 0.000 0.000 0.000
Cu1 0.342 0.342 0.000
Cu2 0.658 0.658 0.000
H1 0.250 0.750 0.500
H2 0.750 0.250 0.500

Calculated values
**Polymorph energy (0 for the lowest one)**: 0.00 eV per formula unit



[5]
Density functional theory data (PBE) for a relaxed Tb2PrHoSc2 crystal.

Cell: 6.280 17.553 3.360 Å, 90.00 90.00 90.00°
Element x y z (fractional)
Tb1 0.217 0.193 0.000
Tb2 0.283 0.693 0.500
Tb3 0.717 0.307 0.500
Tb4 0.783 0.807 0.000
Pr1 0.000 0.000 0.000
Pr2 0.500 0.500 0.500
Ho1 0.000 0.500 0.000
Ho2 0.500 0.000 0.500
Sc1 0.213 0.355 0.500
Sc2 0.287 0.855 0.000
Sc3 0.713 0.145 0.000
Sc4 0.787 0.645 0.500

Calculated values
**ΔH_f (0 K)**: 0.277 eV per atom



[6]
Density functional theory data (PBE) for a relaxed Y2Co2W crystal.

Cell: 6.415 6.415 4.531 Å, 90.00 90.00 90.00°
Element x y z (fractional)
Y1 0.180 0.320 0.000
Y2 0.320 0.820 0.000
Y3 0.680 0.180 0.000
Y4 0.820 0.680 0.000
Co1 0.134 0.634 0.500
Co2 0.366 0.134 0.500
Co3 0.634 0.866 0.500
Co4 0.866 0.366 0.500
W1 0.000 0.000 0.500
W2 0.500 0.500 0.500

Calculated values
**ΔH_f (0 K)**: 0.055 eV per atom